Run w
VASP calculation (PBE) on a relaxed structure of ZrRePb2.

Properties
space-group type = C2/m (12)

Lattice parameters (Å, degrees): 5.2066 5.2066 5.1707 99.07 99.07 39.62
With the nearest neighbours (Å) after each atom.
Element x y z (fractional)
Zr 0.0000 0.0000 0.0000  6 Pb 2.91-3.21, 4 Re 3.13
Re 0.5000 0.5000 0.5000  6 Pb 3.00-3.03, 4 Zr 3.13
Pb 0.2401 0.2401 0.7353  3 Zr 2.91-3.21, 3 Re 3.00-3.03, 4 Pb 3.04-3.23
Pb 0.7599 0.7599 0.2647  3 Zr 2.91-3.21, 3 Re 3.00-3.03, 4 Pb 3.04-3.23



Run x
VASP calculation (PBE) on a relaxed structure of ZrRePb2.

Properties
space-group type = Immm (71)

Lattice parameters (Å, degrees): 5.8400 5.8400 5.8400 145.96 126.23 65.19
With the nearest neighbours (Å) after each atom.
Element x y z (fractional)
Zr 0.0000 0.0000 0.0000  4 Re 3.15, 8 Pb 3.16-3.48, 2 Zr 3.42
Re 0.5000 0.5000 0.0000  4 Pb 2.83, 4 Zr 3.15
Pb 0.2704 0.7704 0.5000  2 Re 2.83, 2 Zr 3.16, 4 Pb 3.17
Pb 0.7296 0.2296 0.5000  2 Re 2.83, 2 Zr 3.16, 4 Pb 3.17



Run y
VASP calculation (PBE) on a relaxed structure of ZrRePb2.

Properties
space-group type = Cm (8)

Lattice parameters (Å, degrees): 5.6421 5.6421 5.3455 110.34 110.34 35.38
With the nearest neighbours (Å) after each atom.
Element x y z (fractional)
Zr 0.0000 0.0000 0.0000  2 Re 2.68
Re 0.6920 0.6920 0.2765  2 Zr 2.68
Pb 0.2286 0.2286 0.7959  3 Zr 3.03-3.21, 4 Re 3.16-3.23
Pb 0.4456 0.4456 0.4460  3 Re 3.06-3.10, 4 Zr 3.16-3.28, 5 Pb 3.40-3.43



Run z
VASP calculation (PBE) on a relaxed structure of ZrRePb2.

Properties
space-group type = Pmmm (47)

Lattice parameters (Å, degrees): 3.6406 4.7121 5.1135 90.00 90.00 90.00
With the nearest neighbours (Å) after each atom.
Element x y z (fractional)
Zr 0.0000 0.0000 0.0000  4 Pb 2.98, 4 Re 3.14
Re 0.5000 0.0000 0.5000  4 Pb 2.98, 4 Zr 3.14
Pb 0.0000 0.5000 0.5000  4 Re 2.98, 4 Pb 3.14
Pb 0.5000 0.5000 0.0000  4 Zr 2.98, 4 Pb 3.14



The structure with the least stability is run z.



Run w
VASP calculation (PBE) on a relaxed structure of ZrRePb2.

Properties
space-group type = P2/m (10)

Lattice parameters (Å, degrees): 3.3987 4.6782 5.6388 90.00 98.53 90.00
With the nearest neighbours (Å) after each atom.
Element x y z (fractional)
Zr 0.0000 0.0000 0.0000  4 Pb 3.03, 2 Re 3.07
Re 0.5000 0.0000 0.5000  4 Pb 2.82, 2 Zr 3.07
Pb 0.3095 0.5000 0.7387  2 Re 2.82, 2 Zr 3.03, 2 Pb 3.04-3.16
Pb 0.6905 0.5000 0.2613  2 Re 2.82, 2 Zr 3.03, 2 Pb 3.04-3.16



Run x
VASP calculation (PBE) on a relaxed structure of ZrRePb2.

Properties
space-group type = P4/mmm (123)

Lattice parameters (Å, degrees): 4.4356 4.4356 4.4227 90.00 90.00 90.00
With the nearest neighbours (Å) after each atom.
Element x y z (fractional)
Zr 0.0000 0.0000 0.0000  8 Pb 3.13, 4 Re 3.14
Re 0.5000 0.5000 0.0000  8 Pb 3.13, 4 Zr 3.14
Pb 0.0000 0.5000 0.5000  4 Zr 3.13, 4 Re 3.13, 4 Pb 3.14
Pb 0.5000 0.0000 0.5000  4 Zr 3.13, 4 Re 3.13, 4 Pb 3.14



Run y
VASP calculation (PBE) on a relaxed structure of ZrRePb2.

Properties
space-group type = F-43m (216)

Lattice parameters (Å, degrees): 5.0167 5.0167 5.0167 60.00 60.00 60.00
With the nearest neighbours (Å) after each atom.
Element x y z (fractional)
Zr 0.0000 0.0000 0.0000  4 Pb 3.07, 4 Re 3.07
Re 0.2500 0.2500 0.2500  4 Pb 3.07, 4 Zr 3.07
Pb 0.5000 0.5000 0.5000  4 Pb 3.07, 4 Re 3.07
Pb 0.7500 0.7500 0.7500  4 Pb 3.07, 4 Zr 3.07



Run z
VASP calculation (PBE) on a relaxed structure of ZrRePb2.

Properties
space-group type = Cmm2 (35)

Lattice parameters (Å, degrees): 3.1615 3.1615 10.4056 90.00 90.00 110.07
With the nearest neighbours (Å) after each atom.
Element x y z (fractional)
Zr 0.0000 0.0000 0.0000  2 Re 2.66
Re 0.5000 0.5000 0.8131  2 Zr 2.66, 2 Pb 2.93
Pb 0.0000 0.0000 0.5914  2 Re 2.93, 4 Pb 3.16
Pb 0.5000 0.5000 0.2614  4 Pb 3.16, 2 Zr 3.27



The structure with the least stability is run x.



Run w
VASP calculation (PBE) on a relaxed structure of ZrRePb2.

Properties
space-group type = R-3m (166)

Lattice parameters (Å, degrees): 9.5024 9.5024 9.5024 20.02 20.02 20.02
With the nearest neighbours (Å) after each atom.
Element x y z (fractional)
Zr 0.0000 0.0000 0.0000  6 Pb 3.16, 6 Zr 3.30
Re 0.5000 0.5000 0.5000  6 Pb 2.86
Pb 0.2429 0.2429 0.2429  3 Re 2.86, 3 Zr 3.16
Pb 0.7571 0.7571 0.7571  3 Re 2.86, 3 Zr 3.16



Run x
VASP calculation (PBE) on a relaxed structure of ZrRePb2.

Properties
space-group type = P4/mmm (123)

Lattice parameters (Å, degrees): 4.8626 4.8626 3.6108 90.00 90.00 90.00
With the nearest neighbours (Å) after each atom.
Element x y z (fractional)
Zr 0.0000 0.0000 0.0000  8 Pb 3.03
Re 0.5000 0.5000 0.0000  8 Pb 3.03
Pb 0.0000 0.5000 0.5000  4 Zr 3.03, 4 Re 3.03
Pb 0.5000 0.0000 0.5000  4 Zr 3.03, 4 Re 3.03



The structure with the least stability is run x.



Run w
VASP calculation (PBE) on a relaxed structure of Zr3RePb.

Properties
space-group type = Pm-3m (221)

Lattice parameters (Å, degrees): 5.0956 5.0956 5.0956 90.00 90.00 90.00
With the nearest neighbours (Å) after each atom.
Element x y z (fractional)
Zr 0.0000 0.0000 0.5000  2 Re 2.55
Zr 0.0000 0.5000 0.0000  2 Re 2.55
Zr 0.5000 0.0000 0.0000  2 Re 2.55
Re 0.0000 0.0000 0.0000  6 Zr 2.55
Pb 0.5000 0.5000 0.5000  12 Zr 3.60



Run x
VASP calculation (PBE) on a relaxed structure of Zr3RePb.

Properties
space-group type = Pm-3m (221)

Lattice parameters (Å, degrees): 5.2259 5.2259 5.2259 90.00 90.00 90.00
With the nearest neighbours (Å) after each atom.
Element x y z (fractional)
Zr 0.0000 0.0000 0.5000  2 Pb 2.61
Zr 0.0000 0.5000 0.0000  2 Pb 2.61
Zr 0.5000 0.0000 0.0000  2 Pb 2.61
Re 0.5000 0.5000 0.5000  12 Zr 3.70
Pb 0.0000 0.0000 0.0000  6 Zr 2.61



The structure with the least stability is run x.